Record 1
Computed, not measured: a geometry-optimized TiNbAlGa structure at the PBE level of DFT.

Cell: 3.896 4.032 4.139 Å, 90.00 90.00 90.00°
Space group Pmmm (No. 47)
Unique sites:
Ti (0.000, 0.000, 0.000) (multiplicity 1)
Nb (0.500, 0.500, 0.000) (multiplicity 1)
Al (0.000, 0.500, 0.500) (multiplicity 1)
Ga (0.500, 0.000, 0.500) (multiplicity 1)

Values from the calculation:
**Electronic total energy**: -26.30 eV/cell

Record 2
Computed, not measured: a geometry-optimized NbAlV2Ga structure at the PBE level of DFT.

Cell: 4.475 4.475 4.393 Å, 90.00 90.00 90.00°
Space group P4/mmm (No. 123)
Unique sites:
Nb (0.000, 0.000, 0.000) (multiplicity 1)
Al (0.500, 0.500, 0.500) (multiplicity 1)
V (0.000, 0.500, 0.500) (multiplicity 2)
Ga (0.500, 0.500, 0.000) (multiplicity 1)

Values from the calculation:
**Electronic total energy**: -29.74 eV/cell

Record 3
Computed, not measured: a geometry-optimized Nb2AlV5Ga2 structure at the PBE level of DFT.

Cell: 9.073 9.073 3.746 Å, 90.00 90.00 90.00°
Space group P4/mbm (No. 127)
Unique sites:
Nb (0.169, 0.331, 0.000) (multiplicity 4)
Al (0.000, 0.000, 0.000) (multiplicity 2)
V (0.000, 0.500, 0.500) (multiplicity 2)
V (0.068, 0.804, 0.500) (multiplicity 8)
Ga (0.128, 0.628, 0.000) (multiplicity 4)

Values from the calculation:
**Electronic total energy**: -150.50 eV/cell